# 1
Cu2AsAu: optimized geometry, GGA-PBE.

Results
total magnetic moment	0.0	μB/f.u.
symmetry	No. 99
D(E_F)	0.9	states/eV per cell

Structure (POSCAR):
```
Cu2AsAu
1.0
2.805 0.000 0.000
0.000 2.805 0.000
0.000 0.000 7.937
Cu As Au
2 1 1
direct
0.000 0.000 0.000
0.500 0.500 0.208
0.000 0.000 0.435
0.500 0.500 0.762
```

# 2
CuAsAu: optimized geometry, GGA-PBE.

Results
total magnetic moment	0.0	μB/f.u.
symmetry	No. 156
D(E_F)	0.6	states/eV per cell

Structure (POSCAR):
```
CuAsAu
1.0
2.984 0.000 0.000
-1.492 2.584 0.000
0.000 0.000 6.447
Cu As Au
1 1 1
direct
0.000 0.000 0.000
0.667 0.333 0.290
0.333 0.667 0.679
```

# 3
CuAsAu2: optimized geometry, GGA-PBE.

Results
total magnetic moment	0.0	μB/f.u.
symmetry	No. 6
D(E_F)	0.9	states/eV per cell

Structure (POSCAR):
```
CuAsAu2
1.0
2.810 0.000 0.000
0.000 3.896 0.000
-0.014 0.000 6.465
Cu As Au
1 1 2
direct
0.000 0.000 0.000
0.992 0.500 0.252
0.498 0.500 0.805
0.996 0.000 0.543
```

# 4
Cu2As2Au: optimized geometry, GGA-PBE.

Results
total magnetic moment	0.0	μB/f.u.
symmetry	No. 127
D(E_F)	3.2	states/eV per cell

Structure (POSCAR):
```
Cu2As2Au
1.0
7.453 0.000 0.000
0.000 7.453 0.000
0.000 0.000 2.999
Cu As Au
4 4 2
direct
0.121 0.379 0.000
0.379 0.879 0.000
0.621 0.121 0.000
0.879 0.621 0.000
0.180 0.680 0.500
0.320 0.180 0.500
0.680 0.820 0.500
0.820 0.320 0.500
0.000 0.000 0.500
0.500 0.500 0.500
```

# 5
Cu2AsAu: optimized geometry, GGA-PBE.

Results
total magnetic moment	0.0	μB/f.u.
symmetry	No. 25
D(E_F)	1.4	states/eV per cell

Structure (POSCAR):
```
Cu2AsAu
1.0
3.020 0.000 0.000
0.000 4.355 0.000
0.000 0.000 4.616
Cu As Au
2 1 1
direct
0.000 0.000 0.000
0.000 0.500 0.336
0.500 0.500 0.877
0.500 0.000 0.493
```

# 6
CuAsAu: optimized geometry, GGA-PBE.

Results
total magnetic moment	0.0	μB/f.u.
symmetry	No. 38
D(E_F)	4.3	states/eV per cell

Structure (POSCAR):
```
CuAsAu
1.0
13.034 0.000 0.000
0.000 2.979 0.000
0.000 0.000 5.162
Cu As Au
4 4 4
direct
0.000 0.000 0.000
0.000 0.500 0.500
0.500 0.000 0.006
0.500 0.500 0.506
0.349 0.000 0.674
0.349 0.500 0.174
0.651 0.000 0.674
0.651 0.500 0.174
0.158 0.000 0.334
0.158 0.500 0.834
0.842 0.000 0.334
0.842 0.500 0.834
```

| no. | formation energy (eV/atom) |
| --- | --- |
| 1 | 0.11 |
| 2 | 0.12 |
| 3 | 0.10 |
| 4 | 0.21 |
| 5 | 0.07 |
| 6 | 0.16 |